Entry 1:
First-principles (GGA-PBE) data for crystalline Mn2AlCrH at its relaxed geometry, as listed in the Alexandria database.

```
data_Mn2AlCrH
_chemical_formula_sum 'Mn2 Al1 Cr1 H1'
_symmetry_space_group_name_H-M 'P 1'
_symmetry_Int_Tables_number 1
_cell_length_a 3.780
_cell_length_b 3.780
_cell_length_c 3.703
_cell_angle_alpha 90.00
_cell_angle_beta 90.00
_cell_angle_gamma 90.00
loop_
_symmetry_equiv_pos_as_xyz
'x,y,z'
loop_
_atom_site_label
_atom_site_type_symbol
_atom_site_fract_x
_atom_site_fract_y
_atom_site_fract_z
Mn1 Mn 0.000 0.500 0.000
Mn2 Mn 0.500 0.000 0.000
Al1 Al 0.000 0.000 0.500
Cr1 Cr 0.500 0.500 0.500
H1 H 0.500 0.500 0.000
```

Mass density = 5.958 g/cm3
DFT total energy = -7.11 eV/atom

***

Entry 2:
First-principles (GGA-PBE) data for crystalline AlCrMo2H at its relaxed geometry, as listed in the Alexandria database.

```
data_AlCrMo2H
_chemical_formula_sum 'Al1 Cr1 Mo2 H1'
_symmetry_space_group_name_H-M 'P 1'
_symmetry_Int_Tables_number 1
_cell_length_a 4.087
_cell_length_b 4.087
_cell_length_c 3.650
_cell_angle_alpha 90.00
_cell_angle_beta 90.00
_cell_angle_gamma 90.00
loop_
_symmetry_equiv_pos_as_xyz
'x,y,z'
loop_
_atom_site_label
_atom_site_type_symbol
_atom_site_fract_x
_atom_site_fract_y
_atom_site_fract_z
Al1 Al 0.000 0.000 0.000
Cr1 Cr 0.500 0.500 0.000
Mo1 Mo 0.000 0.500 0.500
Mo2 Mo 0.500 0.000 0.500
H1 H 0.500 0.500 0.500
```

Mass density = 7.404 g/cm3
DFT total energy = -7.63 eV/atom

***

Entry 3:
First-principles (GGA-PBE) data for crystalline AlCr2HN at its relaxed geometry, as listed in the Alexandria database.

```
data_AlCr2HN
_chemical_formula_sum 'Al1 Cr2 H1 N1'
_symmetry_space_group_name_H-M 'P 1'
_symmetry_Int_Tables_number 1
_cell_length_a 4.771
_cell_length_b 4.771
_cell_length_c 3.188
_cell_angle_alpha 90.00
_cell_angle_beta 90.00
_cell_angle_gamma 90.00
loop_
_symmetry_equiv_pos_as_xyz
'x,y,z'
loop_
_atom_site_label
_atom_site_type_symbol
_atom_site_fract_x
_atom_site_fract_y
_atom_site_fract_z
Al1 Al 0.000 0.000 0.000
Cr1 Cr 0.000 0.500 0.000
Cr2 Cr 0.500 0.000 0.000
H1 H 0.000 0.000 0.500
N1 N 0.500 0.500 0.500
```

Mass density = 3.341 g/cm3
DFT total energy = -5.28 eV/atom

***

Entry 4:
First-principles (GGA-PBE) data for crystalline NbAlCr2H at its relaxed geometry, as listed in the Alexandria database.

```
data_NbAlCr2H
_chemical_formula_sum 'Nb1 Al1 Cr2 H1'
_symmetry_space_group_name_H-M 'P 1'
_symmetry_Int_Tables_number 1
_cell_length_a 3.882
_cell_length_b 3.882
_cell_length_c 3.946
_cell_angle_alpha 90.00
_cell_angle_beta 90.00
_cell_angle_gamma 90.00
loop_
_symmetry_equiv_pos_as_xyz
'x,y,z'
loop_
_atom_site_label
_atom_site_type_symbol
_atom_site_fract_x
_atom_site_fract_y
_atom_site_fract_z
Nb1 Nb 0.000 0.000 0.000
Al1 Al 0.500 0.500 0.000
Cr1 Cr 0.000 0.500 0.500
Cr2 Cr 0.500 0.000 0.500
H1 H 0.000 0.000 0.500
```

Mass density = 6.279 g/cm3
DFT total energy = -7.27 eV/atom

***

Entry 5:
First-principles (GGA-PBE) data for crystalline AlCrNiH2 at its relaxed geometry, as listed in the Alexandria database.

```
data_AlCrNiH2
_chemical_formula_sum 'Al1 Cr1 Ni1 H2'
_symmetry_space_group_name_H-M 'P 1'
_symmetry_Int_Tables_number 1
_cell_length_a 3.416
_cell_length_b 3.416
_cell_length_c 4.936
_cell_angle_alpha 90.00
_cell_angle_beta 90.00
_cell_angle_gamma 90.00
loop_
_symmetry_equiv_pos_as_xyz
'x,y,z'
loop_
_atom_site_label
_atom_site_type_symbol
_atom_site_fract_x
_atom_site_fract_y
_atom_site_fract_z
Al1 Al 0.000 0.000 0.000
Cr1 Cr 0.500 0.500 0.000
Ni1 Ni 0.500 0.500 0.500
H1 H 0.000 0.500 0.500
H2 H 0.500 0.000 0.500
```

Mass density = 4.027 g/cm3
DFT total energy = -4.55 eV/atom

***

Entry 6:
First-principles (GGA-PBE) data for crystalline AlCrH2Pd at its relaxed geometry, as listed in the Alexandria database.

```
data_AlCrH2Pd
_chemical_formula_sum 'Al1 Cr1 H2 Pd1'
_symmetry_space_group_name_H-M 'P 1'
_symmetry_Int_Tables_number 1
_cell_length_a 3.520
_cell_length_b 3.520
_cell_length_c 5.701
_cell_angle_alpha 90.00
_cell_angle_beta 90.00
_cell_angle_gamma 90.00
loop_
_symmetry_equiv_pos_as_xyz
'x,y,z'
loop_
_atom_site_label
_atom_site_type_symbol
_atom_site_fract_x
_atom_site_fract_y
_atom_site_fract_z
Al1 Al 0.000 0.000 0.000
Cr1 Cr 0.000 0.000 0.500
H1 H 0.000 0.500 0.000
H2 H 0.500 0.000 0.000
Pd1 Pd 0.500 0.500 0.500
```

Mass density = 4.406 g/cm3
DFT total energy = -4.46 eV/atom

***

Entry 7:
First-principles (GGA-PBE) data for crystalline AlCrHPd2 at its relaxed geometry, as listed in the Alexandria database.

```
data_AlCrHPd2
_chemical_formula_sum 'Al1 Cr1 H1 Pd2'
_symmetry_space_group_name_H-M 'P 1'
_symmetry_Int_Tables_number 1
_cell_length_a 4.007
_cell_length_b 4.007
_cell_length_c 3.871
_cell_angle_alpha 90.00
_cell_angle_beta 90.00
_cell_angle_gamma 90.00
loop_
_symmetry_equiv_pos_as_xyz
'x,y,z'
loop_
_atom_site_label
_atom_site_type_symbol
_atom_site_fract_x
_atom_site_fract_y
_atom_site_fract_z
Al1 Al 0.000 0.000 0.000
Cr1 Cr 0.500 0.500 0.000
H1 H 0.500 0.500 0.500
Pd1 Pd 0.000 0.500 0.500
Pd2 Pd 0.500 0.000 0.500
```

Mass density = 7.824 g/cm3
DFT total energy = -5.72 eV/atom

***

Entry 8:
First-principles (GGA-PBE) data for crystalline AlCr2ReH at its relaxed geometry, as listed in the Alexandria database.

```
data_AlCr2ReH
_chemical_formula_sum 'Al1 Cr2 Re1 H1'
_symmetry_space_group_name_H-M 'P 1'
_symmetry_Int_Tables_number 1
_cell_length_a 3.814
_cell_length_b 3.814
_cell_length_c 3.847
_cell_angle_alpha 90.00
_cell_angle_beta 90.00
_cell_angle_gamma 90.00
loop_
_symmetry_equiv_pos_as_xyz
'x,y,z'
loop_
_atom_site_label
_atom_site_type_symbol
_atom_site_fract_x
_atom_site_fract_y
_atom_site_fract_z
Al1 Al 0.000 0.000 0.000
Cr1 Cr 0.000 0.500 0.500
Cr2 Cr 0.500 0.000 0.500
Re1 Re 0.500 0.500 0.000
H1 H 0.500 0.500 0.500
```

Mass density = 9.441 g/cm3
DFT total energy = -7.66 eV/atom

***

Entry 9:
First-principles (GGA-PBE) data for crystalline AlCr2HRh at its relaxed geometry, as listed in the Alexandria database.

```
data_AlCr2HRh
_chemical_formula_sum 'Al1 Cr2 H1 Rh1'
_symmetry_space_group_name_H-M 'P 1'
_symmetry_Int_Tables_number 1
_cell_length_a 3.547
_cell_length_b 3.547
_cell_length_c 4.299
_cell_angle_alpha 90.00
_cell_angle_beta 90.00
_cell_angle_gamma 90.00
loop_
_symmetry_equiv_pos_as_xyz
'x,y,z'
loop_
_atom_site_label
_atom_site_type_symbol
_atom_site_fract_x
_atom_site_fract_y
_atom_site_fract_z
Al1 Al 0.000 0.000 0.000
Cr1 Cr 0.000 0.500 0.500
Cr2 Cr 0.500 0.000 0.500
H1 H 0.500 0.500 0.500
Rh1 Rh 0.500 0.500 0.000
```

Mass density = 7.212 g/cm3
DFT total energy = -6.88 eV/atom

***

Entry 10:
First-principles (GGA-PBE) data for crystalline Al2CrHRu at its relaxed geometry, as listed in the Alexandria database.

```
data_Al2CrHRu
_chemical_formula_sum 'Al2 Cr1 H1 Ru1'
_symmetry_space_group_name_H-M 'P 1'
_symmetry_Int_Tables_number 1
_cell_length_a 4.206
_cell_length_b 4.206
_cell_length_c 3.261
_cell_angle_alpha 90.00
_cell_angle_beta 90.00
_cell_angle_gamma 90.00
loop_
_symmetry_equiv_pos_as_xyz
'x,y,z'
loop_
_atom_site_label
_atom_site_type_symbol
_atom_site_fract_x
_atom_site_fract_y
_atom_site_fract_z
Al1 Al 0.000 0.500 0.000
Al2 Al 0.500 0.000 0.000
Cr1 Cr 0.000 0.000 0.500
H1 H 0.000 0.000 0.000
Ru1 Ru 0.500 0.500 0.500
```

Mass density = 5.987 g/cm3
DFT total energy = -6.17 eV/atom

***

Entry 11:
First-principles (GGA-PBE) data for crystalline AlCr2HRu at its relaxed geometry, as listed in the Alexandria database.

```
data_AlCr2HRu
_chemical_formula_sum 'Al1 Cr2 H1 Ru1'
_symmetry_space_group_name_H-M 'P 1'
_symmetry_Int_Tables_number 1
_cell_length_a 3.624
_cell_length_b 3.624
_cell_length_c 4.117
_cell_angle_alpha 90.00
_cell_angle_beta 90.00
_cell_angle_gamma 90.00
loop_
_symmetry_equiv_pos_as_xyz
'x,y,z'
loop_
_atom_site_label
_atom_site_type_symbol
_atom_site_fract_x
_atom_site_fract_y
_atom_site_fract_z
Al1 Al 0.000 0.000 0.000
Cr1 Cr 0.000 0.500 0.500
Cr2 Cr 0.500 0.000 0.500
H1 H 0.500 0.500 0.500
Ru1 Ru 0.500 0.500 0.000
```

Mass density = 7.157 g/cm3
DFT total energy = -7.13 eV/atom

***

Entry 12:
First-principles (GGA-PBE) data for crystalline TaAlCr2H at its relaxed geometry, as listed in the Alexandria database.

```
data_TaAlCr2H
_chemical_formula_sum 'Ta1 Al1 Cr2 H1'
_symmetry_space_group_name_H-M 'P 1'
_symmetry_Int_Tables_number 1
_cell_length_a 3.906
_cell_length_b 3.906
_cell_length_c 3.884
_cell_angle_alpha 90.00
_cell_angle_beta 90.00
_cell_angle_gamma 90.00
loop_
_symmetry_equiv_pos_as_xyz
'x,y,z'
loop_
_atom_site_label
_atom_site_type_symbol
_atom_site_fract_x
_atom_site_fract_y
_atom_site_fract_z
Ta1 Ta 0.000 0.000 0.000
Al1 Al 0.500 0.500 0.000
Cr1 Cr 0.000 0.500 0.500
Cr2 Cr 0.500 0.000 0.500
H1 H 0.000 0.000 0.500
```

Mass density = 8.771 g/cm3
DFT total energy = -7.61 eV/atom